(1)
{"formula": "La9Co2Pb3", "functional": "PBE-GGA", "state": "optimized geometry", "lattice": [[-5.1846, 3.9685, -3.5665], [-1.6127, -6.8087, 2.5278], [-2.7118, 3.5882, 7.9347]], "species": ["La", "La", "La", "La", "La", "La", "La", "La", "La", "Co", "Co", "Pb", "Pb", "Pb"], "frac_coords": [[0.1640, 0.8360, 0.6634], [0.1640, 0.3280, 0.6634], [0.5000, 0.5000, 0.0000], [0.8360, 0.6720, 0.3366], [0.3280, 0.1640, 0.3366], [0.6720, 0.8360, 0.6634], [0.8360, 0.1640, 0.3366], [0.0000, 0.5000, 0.0000], [0.5000, 0.0000, 0.0000], [0.6667, 0.3333, 0.1801], [0.3333, 0.6667, 0.8199], [0.6667, 0.3333, 0.6650], [0.0000, 0.0000, 0.0000], [0.3333, 0.6667, 0.3350]], "delta_e_f_ev_per_atom": -0.393}

***

(2)
{"formula": "LaCo3Pb", "functional": "PBE-GGA", "state": "optimized geometry", "lattice": [[4.6760, 0.0000, 0.0000], [0.0000, 4.6760, 0.0000], [0.0000, 0.0000, 4.6760]], "species": ["Pb", "Co", "Co", "Co", "La"], "frac_coords": [[0.5000, 0.5000, 0.5000], [0.0000, 0.5000, 0.0000], [0.0000, 0.0000, 0.5000], [0.5000, 0.0000, 0.0000], [0.0000, 0.0000, 0.0000]], "delta_e_f_ev_per_atom": 1.300}

***

Repeat the second record exactly.
{"formula": "LaCo3Pb", "functional": "PBE-GGA", "state": "optimized geometry", "lattice": [[4.6760, 0.0000, 0.0000], [0.0000, 4.6760, 0.0000], [0.0000, 0.0000, 4.6760]], "species": ["Pb", "Co", "Co", "Co", "La"], "frac_coords": [[0.5000, 0.5000, 0.5000], [0.0000, 0.5000, 0.0000], [0.0000, 0.0000, 0.5000], [0.5000, 0.0000, 0.0000], [0.0000, 0.0000, 0.0000]], "delta_e_f_ev_per_atom": 1.300}